# 1
A plane-wave DFT calculation with PBE was carried out for an optimized crystal structure of Mg3GaPb.

Unit cell a=5.443 b=5.443 c=5.443 alpha=90.00 beta=90.00 gamma=90.00
Sites, in units of the cell vectors:
Pb1 0.000 0.000 0.000
Mg1 0.000 0.500 0.000
Mg2 0.000 0.000 0.500
Mg3 0.500 0.000 0.000
Ga1 0.500 0.500 0.500

Results
* volume: 32.24 A^3/atom
* energy of formation: 0.4574 eV/atom
* N(E_F): 2.582 states/eV/f.u.
* space group: Pm-3m (221)

***

# 2
A plane-wave DFT calculation with PBE was carried out for an optimized crystal structure of LaSiTe2.

Unit cell a=8.156 b=8.156 c=8.156 alpha=29.55 beta=29.55 gamma=29.55
Site moments in Bohr magnetons follow the coordinates.
Sites, in units of the cell vectors:
La1 0.250 0.250 0.250  0.10
Si1 0.750 0.750 0.750  0.01
Te1 0.013 0.013 0.013  0.00
Te2 0.487 0.487 0.487  0.00

Results
* volume: 29.20 A^3/atom
* N(E_F): 3.151 states/eV/f.u.
* energy relative to the elements, uncorrected: -0.54 eV/atom
* space group: R-3m (166)

***

# 3
A plane-wave DFT calculation with PBE was carried out for an optimized crystal structure of MgPa2Te6.

Unit cell a=7.009 b=7.845 c=9.870 alpha=90.00 beta=89.38 gamma=90.00
Site moments in Bohr magnetons follow the coordinates.
Sites, in units of the cell vectors:
Mg1 0.500 0.500 0.000  0.00
Mg2 0.000 0.000 0.500  0.00
Pa1 0.945 0.362 0.750  0.21
Pa2 0.555 0.862 0.750  0.21
Pa3 0.445 0.138 0.250  0.21
Pa4 0.055 0.638 0.250  0.21
Te1 0.828 0.954 0.239  -0.02
Te2 0.837 0.665 0.561  -0.01
Te3 0.855 0.677 0.933  -0.01
Te4 0.645 0.177 0.567  -0.01
Te5 0.663 0.165 0.939  -0.01
Te6 0.672 0.454 0.261  -0.02
Te7 0.172 0.046 0.761  -0.02
Te8 0.163 0.335 0.439  -0.01
Te9 0.145 0.323 0.067  -0.01
Te10 0.355 0.823 0.433  -0.01
Te11 0.337 0.835 0.061  -0.01
Te12 0.328 0.546 0.739  -0.02

Results
* volume: 30.15 A^3/atom
* N(E_F): 3.207 states/eV/f.u.
* energy relative to the elements, uncorrected: -0.76 eV/atom
* space group: P2_1/c (14)

***

# 4
A plane-wave DFT calculation with PBE was carried out for an optimized crystal structure of Tm8As3Se3S.

Unit cell a=7.994 b=7.995 c=7.984 alpha=120.05 beta=90.00 gamma=120.00
Sites, in units of the cell vectors:
Tm1 0.246 0.492 0.238
Tm2 0.754 0.508 0.762
Tm3 0.755 0.510 0.249
Tm4 0.245 0.490 0.751
Tm5 0.755 0.994 0.249
Tm6 0.245 0.006 0.751
Tm7 0.239 0.994 0.249
Tm8 0.761 0.006 0.751
As1 0.000 0.000 0.000
As2 0.000 0.500 0.000
As3 0.500 0.500 0.000
Se1 0.500 0.000 0.500
Se2 0.500 0.500 0.500
Se3 0.000 0.500 0.500
S1 0.000 0.000 0.500

Results
* volume: 24.04 A^3/atom
* N(E_F): 6.073 states/eV/f.u.
* energy relative to the elements, uncorrected: -1.53 eV/atom
* space group: R-3m (166)